The following is a DFT calculation (PBE) of a relaxed structure of SmHfGa2Au2.

Computed properties:
M_tot in μB/atom: 0.01
Space group: P-6m2, No. 187
E in eV/atom: -5.19

a b c (Å): 4.415 4.415 7.241
angles (deg): 90.00 90.00 120.00
Atoms (fractional coordinates):
1 Hf 0.000 0.000 0.000
2 Au 0.333 0.667 0.802
3 Sm 0.000 0.000 0.500
4 Au 0.333 0.667 0.198
5 Ga 0.667 0.333 0.259
6 Ga 0.667 0.333 0.741